(1)
{"formula": "In2AgBr", "functional": "GGA-PBEsol", "state": "relaxed", "cell": [[-1.8864, 0.2594, 3.2646], [-3.2806, -1.8249, 0.4369], [2.1737, -6.8660, 3.9893]], "species": ["Br", "Ag", "In", "In"], "frac_coords": [[0.0000, 0.0000, 0.0000], [0.5000, 0.5000, 0.5000], [0.2404, 0.2404, 0.2789], [0.7596, 0.7596, 0.7211]], "e_above_lowest_polymorph_ev_per_atom": 0.0000, "density_g_cm3": 7.06}

(2)
{"formula": "In2Ag2Br", "functional": "GGA-PBEsol", "state": "relaxed", "cell": [[3.9359, 0.0000, 0.0000], [0.0000, 3.9359, 0.0000], [-1.9679, -1.9679, 7.5343]], "species": ["Br", "Ag", "Ag", "In", "In"], "frac_coords": [[0.0000, 0.0000, 0.0000], [0.2500, 0.7500, 0.5000], [0.7500, 0.2500, 0.5000], [0.3973, 0.3973, 0.7947], [0.6027, 0.6027, 0.2053]], "dft_energy_ev_per_fu": -14.559, "density_g_cm3": 7.47}

Here are the calculated magnetization numbers, same order: 0.00 0.00 (μB/cell).